1.
Density functional theory data (PBE) for a geometry-optimized BRuW structure.

Summary:
Symmetry = No. 12
E_form = -24 kJ/mol of atoms

Cell: 5.6412 5.6412 4.5497 Å, 101.29 101.29 29.99°
Positions (direct):
B 0.2327 0.2327 0.3840
B 0.7673 0.7673 0.6160
Ru 0.4253 0.4253 0.7168
Ru 0.5747 0.5747 0.2832
W 0.1446 0.1446 0.8224
W 0.8554 0.8554 0.1776



2.
Density functional theory data (PBE) for a geometry-optimized BRu3W structure.

Summary:
Symmetry = No. 221
E_form = 6 kJ/mol of atoms
ΔE to the lowest computed polymorph = 0.0 meV/atom

Cell: 4.0511 4.0511 4.0511 Å, 90.00 90.00 90.00°
Positions (direct):
B 0.0000 0.0000 0.0000
Ru 0.0000 0.0000 0.5000
Ru 0.0000 0.5000 0.0000
Ru 0.5000 0.0000 0.0000
W 0.5000 0.5000 0.5000



Repeat the second record exactly.
Density functional theory data (PBE) for a geometry-optimized BRu3W structure.

Summary:
Symmetry = No. 221
E_form = 6 kJ/mol of atoms
ΔE to the lowest computed polymorph = 0.0 meV/atom

Cell: 4.0511 4.0511 4.0511 Å, 90.00 90.00 90.00°
Positions (direct):
B 0.0000 0.0000 0.0000
Ru 0.0000 0.0000 0.5000
Ru 0.0000 0.5000 0.0000
Ru 0.5000 0.0000 0.0000
W 0.5000 0.5000 0.5000